Entry 1:
! SiRh, relaxed, DFT PBE; values from VASP
&SYSTEM
  ibrav = 0, nat = 8, ntyp = 2
/
ATOMIC_SPECIES
Si 28.09 Si.upf
Rh 102.91 Rh.upf
ATOMIC_POSITIONS crystal
Si 0.1598 0.2742 0.4340
Si 0.2742 0.8402 0.1143
Si 0.7258 0.1598 0.8857
Si 0.8402 0.7258 0.5660
Rh 0.0987 0.6305 0.7292
Rh 0.3695 0.0987 0.4682
Rh 0.6305 0.9013 0.5318
Rh 0.9013 0.3695 0.2708
CELL_PARAMETERS angstrom
-4.2537 4.2537 2.1051
4.2537 -4.2537 2.1051
4.2537 4.2537 -2.1051
! * magnetization: 0.000 μB per formula unit
! * Fermi-level density of states: 0.595 states/eV per atom
! * space-group type: I4/m, No. 87
! * ΔE_f (raw): -448 meV/atom



Entry 2:
! SiRh, relaxed, DFT PBE; values from VASP
&SYSTEM
  ibrav = 0, nat = 8, ntyp = 2
/
ATOMIC_SPECIES
Si 28.09 Si.upf
Rh 102.91 Rh.upf
ATOMIC_POSITIONS crystal
Si 0.2118 0.1470 0.4408
Si 0.2118 0.3530 0.9408
Si 0.7882 0.6470 0.0592
Si 0.7882 0.8530 0.5592
Rh 0.3001 0.6438 0.6182
Rh 0.3001 0.8562 0.1182
Rh 0.6999 0.1438 0.8818
Rh 0.6999 0.3562 0.3818
CELL_PARAMETERS angstrom
4.6115 0.0000 0.0000
0.0000 4.6041 0.0000
-2.4002 0.0000 5.0768
! * magnetization: 0.000 μB per formula unit
! * Fermi-level density of states: 0.076 states/eV per atom
! * space-group type: P2_1/c, No. 14
! * ΔE_f (raw): -806 meV/atom



Entry 3:
! SiRh, relaxed, DFT PBE; values from VASP
&SYSTEM
  ibrav = 0, nat = 8, ntyp = 2
/
ATOMIC_SPECIES
Si 28.09 Si.upf
Rh 102.91 Rh.upf
ATOMIC_POSITIONS crystal
Si 0.3333 0.6667 0.0856
Si 0.3333 0.6667 0.4144
Si 0.6667 0.3333 0.5856
Si 0.6667 0.3333 0.9144
Rh 0.0000 0.0000 0.2500
Rh 0.0000 0.0000 0.7500
Rh 0.3333 0.6667 0.7500
Rh 0.6667 0.3333 0.2500
CELL_PARAMETERS angstrom
4.3556 0.0000 0.0000
-2.1778 3.7720 0.0000
0.0000 0.0000 7.2283
! * magnetization: 0.000 μB per formula unit
! * Fermi-level density of states: 0.548 states/eV per atom
! * space-group type: P6_3/mmc, No. 194
! * ΔE_f (raw): -2 meV/atom



Entry 4:
! SiRh, relaxed, DFT PBE; values from VASP
&SYSTEM
  ibrav = 0, nat = 2, ntyp = 2
/
ATOMIC_SPECIES
Si 28.09 Si.upf
Rh 102.91 Rh.upf
ATOMIC_POSITIONS crystal
Si 0.0000 0.0000 0.0000
Rh 0.3333 0.6667 0.5000
CELL_PARAMETERS angstrom
2.9707 0.0000 0.0000
-1.4853 2.5727 0.0000
0.0000 0.0000 3.6047
! * magnetization: 0.000 μB per formula unit
! * Fermi-level density of states: 0.174 states/eV per atom
! * space-group type: P-6m2, No. 187
! * ΔE_f (raw): -631 meV/atom



Entry 5:
! SiRh, relaxed, DFT PBE; values from VASP
&SYSTEM
  ibrav = 0, nat = 8, ntyp = 2
/
ATOMIC_SPECIES
Si 28.09 Si.upf
Rh 102.91 Rh.upf
ATOMIC_POSITIONS crystal
Si 0.0000 0.0000 0.2500
Si 0.0000 0.0000 0.7500
Si 0.3333 0.6667 0.2500
Si 0.6667 0.3333 0.7500
Rh 0.3333 0.6667 0.5812
Rh 0.3333 0.6667 0.9188
Rh 0.6667 0.3333 0.0812
Rh 0.6667 0.3333 0.4188
CELL_PARAMETERS angstrom
4.1257 0.0000 0.0000
-2.0629 3.5730 0.0000
0.0000 0.0000 7.7255
! * magnetization: 0.000 μB per formula unit
! * Fermi-level density of states: 0.768 states/eV per atom
! * space-group type: P6_3/mmc, No. 194
! * ΔE_f (raw): -86 meV/atom



Entry 6:
! Si2Rh, relaxed, DFT PBE; values from VASP
&SYSTEM
  ibrav = 0, nat = 6, ntyp = 2
/
ATOMIC_SPECIES
Si 28.09 Si.upf
Rh 102.91 Rh.upf
ATOMIC_POSITIONS crystal
Si 0.0000 0.0000 0.0000
Si 0.0000 0.0000 0.5000
Si 0.0000 0.5000 0.0000
Si 0.5000 0.0000 0.0000
Rh 0.3750 0.3750 0.3750
Rh 0.6250 0.6250 0.6250
CELL_PARAMETERS angstrom
0.0000 3.4463 3.4463
3.4463 0.0000 3.4463
3.4463 3.4463 0.0000
! * magnetization: 0.000 μB per formula unit
! * Fermi-level density of states: 0.342 states/eV per atom
! * space-group type: Fd-3m, No. 227
! * ΔE_f (raw): 230 meV/atom



Entry 7:
! SiRh, relaxed, DFT PBE; values from VASP
&SYSTEM
  ibrav = 0, nat = 6, ntyp = 2
/
ATOMIC_SPECIES
Si 28.09 Si.upf
Rh 102.91 Rh.upf
ATOMIC_POSITIONS crystal
Si 0.0000 0.0000 0.0000
Si 0.0276 0.0276 0.5588
Si 0.7136 0.7136 0.9104
Rh 0.3382 0.3382 0.7073
Rh 0.3789 0.3789 0.2357
Rh 0.6461 0.6461 0.3108
CELL_PARAMETERS angstrom
5.3879 -1.4443 0.0000
5.3879 1.4443 0.0000
-1.3679 0.0000 5.2247
! * magnetization: 0.000 μB per formula unit
! * Fermi-level density of states: 0.522 states/eV per atom
! * space-group type: Cm, No. 8
! * ΔE_f (raw): -496 meV/atom



Entry 8:
! Si2Rh, relaxed, DFT PBE; values from VASP
&SYSTEM
  ibrav = 0, nat = 6, ntyp = 2
/
ATOMIC_SPECIES
Si 28.09 Si.upf
Rh 102.91 Rh.upf
ATOMIC_POSITIONS crystal
Si 0.0000 0.0000 0.0000
Si 0.0000 0.0000 0.5000
Si 0.3333 0.6667 0.2500
Si 0.6667 0.3333 0.7500
Rh 0.3333 0.6667 0.7500
Rh 0.6667 0.3333 0.2500
CELL_PARAMETERS angstrom
4.3428 0.0000 0.0000
-2.1714 3.7610 0.0000
0.0000 0.0000 5.2298
! * magnetization: 0.000 μB per formula unit
! * Fermi-level density of states: 0.658 states/eV per atom
! * space-group type: P6_3/mmc, No. 194
! * ΔE_f (raw): 0 meV/atom